No. 1
## Cd3SbMo (GGA-PBE)

Data for an optimized crystal structure of Cd3SbMo.

abc: 5.336 5.336 5.336
angles: 90.00 90.00 90.00
Sites, in units of the cell vectors:
Cd  0.000  0.000  0.500
Cd  0.000  0.500  0.000
Cd  0.500  0.000  0.000
Sb  0.500  0.500  0.500
Mo  0.000  0.000  0.000

Output
formation energy without anion corrections: 1.09 eV per atom
E above lowest polymorph: 0.00 eV/f.u.
volume: 30.39 Å³/atom

***

No. 2
## CdSb2Mo (GGA-PBE)

Data for an optimized crystal structure of CdSb2Mo.

abc: 3.338 3.338 8.346
angles: 90.00 90.00 90.00
Sites, in units of the cell vectors:
Cd  0.000  0.000  0.000
Sb  0.500  0.500  0.305
Sb  0.500  0.500  0.695
Mo  0.000  0.000  0.500

Output
formation energy without anion corrections: 0.14 eV per atom
volume: 23.25 Å³/atom

***

No. 3
## CdSb2Mo (GGA-PBE)

Data for an optimized crystal structure of CdSb2Mo.

abc: 3.233 3.391 8.719
angles: 90.00 90.08 90.00
Sites, in units of the cell vectors:
Cd  0.000  0.000  0.000
Sb  0.001  0.500  0.688
Sb  0.999  0.500  0.312
Mo  0.500  0.000  0.500

Output
formation energy without anion corrections: 0.14 eV per atom
volume: 23.89 Å³/atom

***

No. 4
## CdSb2Mo (GGA-PBE)

Data for an optimized crystal structure of CdSb2Mo.

abc: 6.292 7.594 3.583
angles: 90.00 90.40 90.00
Sites, in units of the cell vectors:
Cd  0.000  0.000  0.000
Cd  0.500  0.500  0.000
Sb  0.250  0.250  0.500
Sb  0.250  0.750  0.500
Sb  0.750  0.250  0.500
Sb  0.750  0.750  0.500
Mo  0.000  0.500  0.000
Mo  0.500  0.000  0.000

Output
formation energy without anion corrections: 0.49 eV per atom
volume: 21.40 Å³/atom

***

No. 5
## CdSb2Mo (GGA-PBE)

Data for an optimized crystal structure of CdSb2Mo.

abc: 3.399 3.916 14.483
angles: 90.00 90.00 90.00
Sites, in units of the cell vectors:
Cd  0.000  0.000  0.000
Cd  0.500  0.500  0.500
Sb  0.000  0.000  0.377
Sb  0.000  0.500  0.162
Sb  0.500  0.000  0.662
Sb  0.500  0.500  0.877
Mo  0.000  0.500  0.731
Mo  0.500  0.000  0.231

Output
formation energy without anion corrections: 0.27 eV per atom
volume: 24.10 Å³/atom

***

No. 6
## CdSb2Mo (GGA-PBE)

Data for an optimized crystal structure of CdSb2Mo.

abc: 10.450 3.590 4.708
angles: 90.00 90.55 90.00
Sites, in units of the cell vectors:
Cd  0.000  0.000  0.000
Cd  0.500  0.500  0.000
Sb  0.050  0.500  0.505
Sb  0.267  0.000  0.020
Sb  0.550  0.000  0.505
Sb  0.767  0.500  0.020
Mo  0.337  0.500  0.494
Mo  0.837  0.000  0.494

Output
formation energy without anion corrections: 0.30 eV per atom
volume: 22.08 Å³/atom

***

No. 7
## CdSb2Mo (GGA-PBE)

Data for an optimized crystal structure of CdSb2Mo.

abc: 3.510 3.510 26.336
angles: 90.00 90.00 120.00
Sites, in units of the cell vectors:
Cd  0.000  0.000  0.000
Cd  0.333  0.667  0.667
Cd  0.667  0.333  0.333
Sb  0.000  0.000  0.238
Sb  0.000  0.000  0.762
Sb  0.333  0.667  0.429
Sb  0.333  0.667  0.904
Sb  0.667  0.333  0.096
Sb  0.667  0.333  0.571
Mo  0.000  0.000  0.500
Mo  0.333  0.667  0.167
Mo  0.667  0.333  0.833

Output
formation energy without anion corrections: 0.16 eV per atom
volume: 23.42 Å³/atom

***

No. 8
## CdSb3Mo (GGA-PBE)

Data for an optimized crystal structure of CdSb3Mo.

abc: 5.441 5.441 5.441
angles: 90.00 90.00 90.00
Sites, in units of the cell vectors:
Cd  0.000  0.000  0.000
Sb  0.000  0.000  0.500
Sb  0.000  0.500  0.000
Sb  0.500  0.000  0.000
Mo  0.500  0.500  0.500

Output
formation energy without anion corrections: 1.41 eV per atom
E above lowest polymorph: 4.82 eV/f.u.
volume: 32.21 Å³/atom

***

No. 9
## CdSb2Mo (GGA-PBE)

Data for an optimized crystal structure of CdSb2Mo.

abc: 4.861 4.861 3.602
angles: 90.00 90.00 90.00
Sites, in units of the cell vectors:
Cd  0.000  0.000  0.000
Sb  0.000  0.500  0.500
Sb  0.500  0.000  0.500
Mo  0.500  0.500  0.000

Output
formation energy without anion corrections: 0.50 eV per atom
volume: 21.28 Å³/atom

***

No. 10
## CdSb2Mo (GGA-PBE)

Data for an optimized crystal structure of CdSb2Mo.

abc: 3.732 4.845 10.541
angles: 90.00 90.00 90.00
Sites, in units of the cell vectors:
Cd  0.000  0.000  0.000
Cd  0.500  0.500  0.000
Sb  0.000  0.000  0.405
Sb  0.000  0.500  0.752
Sb  0.500  0.000  0.752
Sb  0.500  0.500  0.405
Mo  0.000  0.500  0.211
Mo  0.500  0.000  0.211

Output
formation energy without anion corrections: 0.39 eV per atom
volume: 23.83 Å³/atom

***

No. 11
## CdSb2Mo (GGA-PBE)

Data for an optimized crystal structure of CdSb2Mo.

abc: 4.649 4.649 8.062
angles: 90.00 90.00 90.00
Sites, in units of the cell vectors:
Cd  0.000  0.000  0.000
Cd  0.500  0.500  0.500
Sb  0.000  0.500  0.250
Sb  0.000  0.500  0.750
Sb  0.500  0.000  0.250
Sb  0.500  0.000  0.750
Mo  0.000  0.000  0.500
Mo  0.500  0.500  0.000

Output
formation energy without anion corrections: 0.47 eV per atom
volume: 21.78 Å³/atom

***

No. 12
## CdSb4Mo (GGA-PBE)

Data for an optimized crystal structure of CdSb4Mo.

abc: 6.205 6.205 6.205
angles: 60.00 60.00 60.00
Sites, in units of the cell vectors:
Cd  0.000  0.000  0.000
Sb  0.374  0.374  0.374
Sb  0.374  0.374  0.877
Sb  0.374  0.877  0.374
Sb  0.877  0.374  0.374
Mo  0.750  0.750  0.750

Output
formation energy without anion corrections: 0.83 eV per atom
volume: 28.15 Å³/atom

***

No. 13
## CdSb2Mo (GGA-PBE)

Data for an optimized crystal structure of CdSb2Mo.

abc: 4.241 4.241 9.873
angles: 90.00 90.00 90.00
Sites, in units of the cell vectors:
Cd  0.000  0.000  0.000
Cd  0.500  0.500  0.500
Sb  0.000  0.000  0.500
Sb  0.000  0.500  0.250
Sb  0.500  0.000  0.750
Sb  0.500  0.500  0.000
Mo  0.000  0.500  0.750
Mo  0.500  0.000  0.250

Output
formation energy without anion corrections: 0.54 eV per atom
volume: 22.19 Å³/atom

***

No. 14
## CdSb2Mo (GGA-PBE)

Data for an optimized crystal structure of CdSb2Mo.

abc: 3.766 5.240 8.874
angles: 90.00 90.00 90.00
Sites, in units of the cell vectors:
Cd  0.000  0.000  0.000
Cd  0.500  0.500  0.500
Sb  0.000  0.500  0.240
Sb  0.000  0.500  0.760
Sb  0.500  0.000  0.260
Sb  0.500  0.000  0.740
Mo  0.000  0.000  0.500
Mo  0.500  0.500  0.000

Output
formation energy without anion corrections: 0.47 eV per atom
volume: 21.89 Å³/atom

***

No. 15
## CdSb2TeMo (GGA-PBE)

Data for an optimized crystal structure of CdSb2TeMo.

abc: 5.421 5.421 5.596
angles: 90.00 90.00 90.00
Sites, in units of the cell vectors:
Cd  0.000  0.000  0.000
Sb  0.000  0.500  0.000
Sb  0.500  0.000  0.000
Te  0.000  0.000  0.500
Mo  0.500  0.500  0.500

Output
formation energy without anion corrections: 1.35 eV per atom
E above lowest polymorph: 4.56 eV/f.u.
volume: 32.89 Å³/atom